Here is a relaxed Ba3SrIn crystal from Alexandria. Energies are from PBE.

a = 4.3899 Å, b = 10.3639 Å, c = 11.9559 Å
α = 103.57°, β = 100.58°, γ = 90.01°
Fractional coordinates of all 10 atoms:
Sr 0.8214 0.0702 0.9007
Ba 0.2204 0.3088 0.6989
In 0.8131 0.5523 0.8835
Ba 0.4140 0.4259 0.0854
Ba 0.6101 0.9158 0.4765
Ba 0.5936 0.4987 0.4443
Sr 0.0093 0.1544 0.2747
Ba 0.2369 0.7259 0.7311
Ba 0.4164 0.7987 0.0899
In 0.0172 0.6723 0.2919

Properties
**V**: 51.92 Å³ per atom
**DOS at the Fermi energy**: 5.42 states/eV/f.u.
**ΔH_f (0 K)**: -17 kJ/mol of atoms
**E**: -11.05 eV per formula unit
**Space-group type**: P-1
**Energy relative to the lowest polymorph listed for this composition**: 0.000 eV per atom



Here is a relaxed KTc3C crystal from Alexandria. Energies are from PBE.

a = 4.2536 Å, b = 4.2536 Å, c = 4.2536 Å
α = 90.00°, β = 90.00°, γ = 90.00°
Site moments in Bohr magnetons follow the coordinates.
Fractional coordinates of all 5 atoms:
C 0.0000 0.0000 0.0000  -0.03
K 0.5000 0.5000 0.5000  0.02
Tc 0.0000 0.5000 0.0000  0.63
Tc 0.5000 0.0000 0.0000  0.44
Tc 0.0000 0.0000 0.5000  0.67

Properties
**V**: 15.39 Å³ per atom
**DOS at the Fermi energy**: 6.94 states/eV/f.u.
**ΔH_f (0 K)**: 109 kJ/mol of atoms
**E**: -35.80 eV per formula unit
**Space-group type**: Pm-3m
**Energy relative to the lowest polymorph listed for this composition**: 0.000 eV per atom



Here is a relaxed CeNdCuSn crystal from Alexandria. Energies are from PBE.

a = 5.3119 Å, b = 5.3119 Å, c = 5.3119 Å
α = 60.00°, β = 60.00°, γ = 60.00°
Site moments in Bohr magnetons follow the coordinates.
Fractional coordinates of all 4 atoms:
Ce 0.0000 0.0000 0.0000  0.99
Nd 0.5000 0.5000 0.5000  0.20
Cu 0.7500 0.7500 0.7500  0.02
Sn 0.2500 0.2500 0.2500  -0.03

Properties
**V**: 26.50 Å³ per atom
**DOS at the Fermi energy**: 10.11 states/eV/f.u.
**ΔH_f (0 K)**: -31 kJ/mol of atoms
**E**: -20.10 eV per formula unit
**Space-group type**: F-43m



Here is a relaxed CeHoCoAu crystal from Alexandria. Energies are from PBE.

a = 4.9736 Å, b = 4.9736 Å, c = 4.9736 Å
α = 60.00°, β = 60.00°, γ = 60.00°
Site moments in Bohr magnetons follow the coordinates.
Fractional coordinates of all 4 atoms:
Co 0.5000 0.5000 0.5000  0.61
Au 0.0000 0.0000 0.0000  -0.01
Ce 0.7500 0.7500 0.7500  -0.56
Ho 0.2500 0.2500 0.2500  -0.10

Properties
**V**: 21.75 Å³ per atom
**DOS at the Fermi energy**: 6.51 states/eV/f.u.
**ΔH_f (0 K)**: -33 kJ/mol of atoms
**E**: -22.28 eV per formula unit
**Space-group type**: F-43m



Here is a relaxed SrPrPd crystal from Alexandria. Energies are from PBE.

a = 4.5293 Å, b = 4.0222 Å, c = 11.5201 Å
α = 100.02°, β = 90.00°, γ = 90.00°
Fractional coordinates of all 6 atoms:
Pr 0.7500 0.0639 0.1288
Pr 0.2500 0.9361 0.8712
Sr 0.7500 0.3172 0.6331
Pd 0.7500 0.4579 0.9151
Sr 0.2500 0.6828 0.3669
Pd 0.2500 0.5421 0.0849

Properties
**V**: 34.44 Å³ per atom
**DOS at the Fermi energy**: 2.44 states/eV/f.u.
**ΔH_f (0 K)**: -47 kJ/mol of atoms
**E**: -13.13 eV per formula unit
**Space-group type**: P2_1/m
**Energy relative to the lowest polymorph listed for this composition**: 0.000 eV per atom



Here is a relaxed Tb6Al2Rh crystal from Alexandria. Energies are from PBE.

a = 5.0206 Å, b = 7.1079 Å, c = 8.5651 Å
α = 114.52°, β = 107.06°, γ = 90.00°
Fractional coordinates of all 9 atoms:
Tb 0.8418 0.5976 0.6837
Rh 0.0000 0.0000 0.0000
Al 0.6679 0.6680 0.3361
Al 0.3321 0.3320 0.6639
Tb 0.8418 0.0861 0.6837
Tb 0.5000 0.7624 0.0000
Tb 0.5000 0.2376 0.0000
Tb 0.1582 0.4024 0.3163
Tb 0.1582 0.9139 0.3163

Properties
**V**: 29.25 Å³ per atom
**DOS at the Fermi energy**: 9.71 states/eV/f.u.
**ΔH_f (0 K)**: -19 kJ/mol of atoms
**E**: -44.42 eV per formula unit
**Space-group type**: Immm



Which of these has the highest DOS at the Fermi energy? CeNdCuSn



Among the records above, which one has the lowest ΔH_f (0 K)? SrPrPd